1.
First-principles (GGA-PBEsol) data for a relaxed CaCdAg crystal, as listed in the Alexandria database. Values from VASP.

## Properties
- uncorrected energy (eV per atom) = -2.391
- DFT formation energy (eV/atom) = -0.177
- size of the total moment (μB per atom) = 0.00
- crystal system = cubic
- DOS(E_F) (states/eV/f.u.) = 1.47

The structure in Quantum ESPRESSO input format:
```
&SYSTEM
  ibrav = 0, nat = 3, ntyp = 3
/
ATOMIC_SPECIES
Ca 40.08 Ca.upf
Cd 112.41 Cd.upf
Ag 107.87 Ag.upf
CELL_PARAMETERS angstrom
0.000 3.391 3.391
3.391 0.000 3.391
3.391 3.391 0.000
ATOMIC_POSITIONS crystal
Ca 0.000 0.000 0.000
Cd 0.500 0.500 0.500
Ag 0.750 0.750 0.750
```

2.
First-principles (GGA-PBEsol) data for a relaxed Y2ZrTl crystal, as listed in the Alexandria database. Values from VASP.

## Properties
- uncorrected energy (eV per atom) = -6.422
- DFT formation energy (eV/atom) = -0.081
- size of the total moment (μB per atom) = 0.00
- crystal system = orthorhombic
- DOS(E_F) (states/eV/f.u.) = 5.06

The structure in Quantum ESPRESSO input format:
```
&SYSTEM
  ibrav = 0, nat = 4, ntyp = 3
/
ATOMIC_SPECIES
Y 88.91 Y.upf
Zr 91.22 Zr.upf
Tl 204.38 Tl.upf
CELL_PARAMETERS angstrom
3.452 0.000 0.000
0.000 4.465 0.000
0.000 0.000 6.639
ATOMIC_POSITIONS crystal
Y 0.000 0.000 0.000
Y 0.500 0.500 0.277
Zr 0.000 0.000 0.512
Tl 0.500 0.500 0.754
```

3.
First-principles (GGA-PBEsol) data for a relaxed Hf3BCl crystal, as listed in the Alexandria database. Values from VASP.

## Properties
- uncorrected energy (eV per atom) = -7.894
- formation energy (no corrections) (meV/atom) = 212
- size of the total moment (μB per atom) = 0.00
- crystal system = cubic
- DOS(E_F) (states/eV/f.u.) = 4.36

The structure in Quantum ESPRESSO input format:
```
&SYSTEM
  ibrav = 0, nat = 5, ntyp = 3
/
ATOMIC_SPECIES
Hf 178.49 Hf.upf
B 10.81 B.upf
Cl 35.45 Cl.upf
CELL_PARAMETERS angstrom
4.569 0.000 0.000
0.000 4.569 0.000
0.000 0.000 4.569
ATOMIC_POSITIONS crystal
Hf 0.000 0.000 0.500
Hf 0.000 0.500 0.000
Hf 0.500 0.000 0.000
B 0.000 0.000 0.000
Cl 0.500 0.500 0.500
```

4.
First-principles (GGA-PBEsol) data for a relaxed Ta5Os crystal, as listed in the Alexandria database. Values from VASP.

## Properties
- energy above the lowest structure with this stoichiometry (meV per atom) = 1106
- uncorrected energy (eV per atom) = -11.603
- DFT formation energy (eV/atom) = 0.892
- size of the total moment (μB per atom) = 0.00
- crystal system = hexagonal
- DOS(E_F) (states/eV/f.u.) = 5.95

The structure in Quantum ESPRESSO input format:
```
&SYSTEM
  ibrav = 0, nat = 6, ntyp = 2
/
ATOMIC_SPECIES
Ta 180.95 Ta.upf
Os 190.23 Os.upf
CELL_PARAMETERS angstrom
5.219 0.000 0.000
-2.610 4.520 0.000
0.000 0.000 4.711
ATOMIC_POSITIONS crystal
Ta 0.000 0.500 0.000
Ta 0.333 0.667 0.500
Ta 0.500 0.000 0.000
Ta 0.500 0.500 0.000
Ta 0.667 0.333 0.500
Os 0.000 0.000 0.500
```

5.
First-principles (GGA-PBEsol) data for a relaxed CsK3 crystal, as listed in the Alexandria database. Values from VASP.

## Properties
- uncorrected energy (eV per atom) = -1.078
- DFT formation energy (eV/atom) = 0.008
- size of the total moment (μB per atom) = 0.00
- crystal system = hexagonal
- DOS(E_F) (states/eV/f.u.) = 3.52

The structure in Quantum ESPRESSO input format:
```
&SYSTEM
  ibrav = 0, nat = 8, ntyp = 2
/
ATOMIC_SPECIES
Cs 132.91 Cs.upf
K 39.10 K.upf
CELL_PARAMETERS angstrom
9.665 0.000 0.000
-4.832 8.370 0.000
0.000 0.000 7.777
ATOMIC_POSITIONS crystal
Cs 0.333 0.667 0.250
Cs 0.667 0.333 0.750
K 0.161 0.322 0.750
K 0.161 0.839 0.750
K 0.322 0.161 0.250
K 0.678 0.839 0.750
K 0.839 0.161 0.250
K 0.839 0.678 0.250
```

6.
First-principles (GGA-PBEsol) data for a relaxed CaTa2O6 crystal, as listed in the Alexandria database. Values from VASP.

## Properties
- uncorrected energy (eV per atom) = -9.563
- formation energy (no corrections) (meV/atom) = -3037
- size of the total moment (μB per atom) = 0.00
- crystal system = orthorhombic
- DOS(E_F) (states/eV/f.u.) = 0.00

The structure in Quantum ESPRESSO input format:
```
&SYSTEM
  ibrav = 0, nat = 36, ntyp = 3
/
ATOMIC_SPECIES
Ca 40.08 Ca.upf
Ta 180.95 Ta.upf
O 16.00 O.upf
CELL_PARAMETERS angstrom
11.085 0.000 0.000
0.000 7.499 0.000
0.000 0.000 5.344
ATOMIC_POSITIONS crystal
Ca 0.042 0.250 0.043
Ca 0.458 0.750 0.543
Ca 0.542 0.250 0.457
Ca 0.958 0.750 0.957
Ta 0.141 0.505 0.540
Ta 0.141 0.995 0.540
Ta 0.359 0.005 0.040
Ta 0.359 0.495 0.040
Ta 0.641 0.505 0.960
Ta 0.641 0.995 0.960
Ta 0.859 0.005 0.460
Ta 0.859 0.495 0.460
O 0.024 0.541 0.270
O 0.024 0.959 0.270
O 0.122 0.750 0.665
O 0.145 0.250 0.446
O 0.212 0.062 0.872
O 0.212 0.438 0.872
O 0.288 0.562 0.372
O 0.288 0.938 0.372
O 0.355 0.750 0.946
O 0.378 0.250 0.165
O 0.476 0.041 0.770
O 0.476 0.459 0.770
O 0.524 0.541 0.230
O 0.524 0.959 0.230
O 0.622 0.750 0.835
O 0.645 0.250 0.054
O 0.712 0.062 0.628
O 0.712 0.438 0.628
O 0.788 0.562 0.128
O 0.788 0.938 0.128
O 0.855 0.750 0.554
O 0.878 0.250 0.335
O 0.976 0.041 0.730
O 0.976 0.459 0.730
```

7.
First-principles (GGA-PBEsol) data for a relaxed MgCuPb crystal, as listed in the Alexandria database. Values from VASP.

## Properties
- uncorrected energy (eV per atom) = -2.985
- DFT formation energy (eV/atom) = 0.365
- size of the total moment (μB per atom) = 0.00
- crystal system = cubic
- DOS(E_F) (states/eV/f.u.) = 1.14

The structure in Quantum ESPRESSO input format:
```
&SYSTEM
  ibrav = 0, nat = 3, ntyp = 3
/
ATOMIC_SPECIES
Mg 24.30 Mg.upf
Cu 63.55 Cu.upf
Pb 207.20 Pb.upf
CELL_PARAMETERS angstrom
0.000 3.212 3.212
3.212 0.000 3.212
3.212 3.212 0.000
ATOMIC_POSITIONS crystal
Mg 0.000 0.000 0.000
Cu 0.250 0.250 0.250
Pb 0.750 0.750 0.750
```

8.
First-principles (GGA-PBEsol) data for a relaxed Na2Mg2Ag crystal, as listed in the Alexandria database. Values from VASP.

## Properties
- uncorrected energy (eV per atom) = -1.624
- DFT formation energy (eV/atom) = 0.285
- size of the total moment (μB per atom) = 0.00
- crystal system = tetragonal
- DOS(E_F) (states/eV/f.u.) = 2.31

The structure in Quantum ESPRESSO input format:
```
&SYSTEM
  ibrav = 0, nat = 5, ntyp = 3
/
ATOMIC_SPECIES
Na 22.99 Na.upf
Mg 24.30 Mg.upf
Ag 107.87 Ag.upf
CELL_PARAMETERS angstrom
-1.920 1.920 8.377
1.920 -1.920 8.377
1.920 1.920 -8.377
ATOMIC_POSITIONS crystal
Na 0.250 0.750 0.500
Na 0.750 0.250 0.500
Mg 0.085 0.085 0.000
Mg 0.915 0.915 0.000
Ag 0.500 0.500 0.000
```

9.
First-principles (GGA-PBEsol) data for a relaxed MnHgRu2 crystal, as listed in the Alexandria database. Values from VASP.

## Properties
- uncorrected energy (eV per atom) = -7.345
- DFT formation energy (eV/atom) = 0.323
- size of the total moment (μB per atom) = 0.87
- crystal system = orthorhombic
- DOS(E_F) (states/eV/f.u.) = 2.84

The structure in Quantum ESPRESSO input format:
```
&SYSTEM
  ibrav = 0, nat = 4, ntyp = 3
/
ATOMIC_SPECIES
Mn 54.94 Mn.upf
Hg 200.59 Hg.upf
Ru 101.07 Ru.upf
CELL_PARAMETERS angstrom
2.808 0.000 0.000
0.000 3.741 0.000
0.000 0.000 5.635
ATOMIC_POSITIONS crystal
Mn 0.000 0.000 0.000
Hg 0.500 0.500 0.731
Ru 0.000 0.000 0.435
Ru 0.500 0.500 0.235
```

10.
First-principles (GGA-PBEsol) data for a relaxed LaTa2Ag crystal, as listed in the Alexandria database. Values from VASP.

## Properties
- energy above the lowest structure with this stoichiometry (meV per atom) = 57
- uncorrected energy (eV per atom) = -7.828
- DFT formation energy (eV/atom) = 0.611
- size of the total moment (μB per atom) = 0.00
- crystal system = orthorhombic
- DOS(E_F) (states/eV/f.u.) = 4.43

The structure in Quantum ESPRESSO input format:
```
&SYSTEM
  ibrav = 0, nat = 4, ntyp = 3
/
ATOMIC_SPECIES
La 138.91 La.upf
Ta 180.95 Ta.upf
Ag 107.87 Ag.upf
CELL_PARAMETERS angstrom
3.143 0.000 0.000
0.000 3.811 0.000
0.000 0.000 7.037
ATOMIC_POSITIONS crystal
La 0.000 0.000 0.000
Ta 0.500 0.500 0.311
Ta 0.500 0.500 0.689
Ag 0.000 0.000 0.500
```

11.
First-principles (GGA-PBEsol) data for a relaxed NaTi2AgTe crystal, as listed in the Alexandria database. Values from VASP.

## Properties
- uncorrected energy (eV per atom) = -4.298
- formation energy (no corrections) (meV/atom) = 678
- size of the total moment (μB per atom) = 0.33
- crystal system = tetragonal
- DOS(E_F) (states/eV/f.u.) = 7.04

The structure in Quantum ESPRESSO input format:
```
&SYSTEM
  ibrav = 0, nat = 5, ntyp = 4
/
ATOMIC_SPECIES
Na 22.99 Na.upf
Ti 47.87 Ti.upf
Ag 107.87 Ag.upf
Te 127.60 Te.upf
CELL_PARAMETERS angstrom
4.888 0.000 0.000
0.000 4.888 0.000
0.000 0.000 5.051
ATOMIC_POSITIONS crystal
Na 0.000 0.000 0.000
Ti 0.000 0.500 0.500
Ti 0.500 0.000 0.500
Ag 0.000 0.000 0.500
Te 0.500 0.500 0.000
```

12.
First-principles (GGA-PBEsol) data for a relaxed Zr2TaW crystal, as listed in the Alexandria database. Values from VASP.

## Properties
- energy above the lowest structure with this stoichiometry (meV per atom) = 0
- uncorrected energy (eV per atom) = -11.009
- DFT formation energy (eV/atom) = 0.126
- size of the total moment (μB per atom) = 0.00
- crystal system = cubic
- DOS(E_F) (states/eV/f.u.) = 5.96

The structure in Quantum ESPRESSO input format:
```
&SYSTEM
  ibrav = 0, nat = 4, ntyp = 3
/
ATOMIC_SPECIES
Zr 91.22 Zr.upf
Ta 180.95 Ta.upf
W 183.84 W.upf
CELL_PARAMETERS angstrom
0.000 3.340 3.340
3.340 0.000 3.340
3.340 3.340 0.000
ATOMIC_POSITIONS crystal
Zr 0.000 0.000 0.000
Zr 0.250 0.250 0.250
Ta 0.500 0.500 0.500
W 0.750 0.750 0.750
```

13.
First-principles (GGA-PBEsol) data for a relaxed CdMoSe2 crystal, as listed in the Alexandria database. Values from VASP.

## Properties
- energy above the lowest structure with this stoichiometry (meV per atom) = 0
- uncorrected energy (eV per atom) = -5.171
- formation energy (no corrections) (meV/atom) = -4
- size of the total moment (μB per atom) = 0.00
- crystal system = orthorhombic
- DOS(E_F) (states/eV/f.u.) = 3.69

The structure in Quantum ESPRESSO input format:
```
&SYSTEM
  ibrav = 0, nat = 4, ntyp = 3
/
ATOMIC_SPECIES
Cd 112.41 Cd.upf
Mo 95.94 Mo.upf
Se 78.96 Se.upf
CELL_PARAMETERS angstrom
-1.488 2.500 5.741
1.488 -2.500 5.741
1.488 2.500 -5.741
ATOMIC_POSITIONS crystal
Cd 0.000 0.000 0.000
Mo 0.500 0.500 0.000
Se 0.325 0.825 0.500
Se 0.675 0.175 0.500
```

14.
First-principles (GGA-PBEsol) data for a relaxed CaScAl2 crystal, as listed in the Alexandria database. Values from VASP.

## Properties
- energy above the lowest structure with this stoichiometry (meV per atom) = 265
- uncorrected energy (eV per atom) = -4.285
- DFT formation energy (eV/atom) = -0.055
- size of the total moment (μB per atom) = 0.00
- crystal system = trigonal
- DOS(E_F) (states/eV/f.u.) = 3.11

The structure in Quantum ESPRESSO input format:
```
&SYSTEM
  ibrav = 0, nat = 4, ntyp = 3
/
ATOMIC_SPECIES
Ca 40.08 Ca.upf
Sc 44.96 Sc.upf
Al 26.98 Al.upf
CELL_PARAMETERS angstrom
1.665 0.961 9.510
-1.665 0.961 9.510
0.000 -1.922 9.510
ATOMIC_POSITIONS crystal
Ca 0.000 0.000 0.000
Sc 0.500 0.500 0.500
Al 0.245 0.245 0.245
Al 0.755 0.755 0.755
```